Compound: Sc8CdCo2
Source: Alexandria
Functional: GGA-PBE
Structure: relaxed

Lattice parameters (Å, degrees): 4.8738 14.6208 6.3474 90.00 90.00 90.00
With the nearest neighbours (Å) after each atom.
Space group Imm2 (No. 44)
Inequivalent atoms, fractional coordinates:
Sc (0.0000, 0.0000, 0.0000) x2  2 Co 2.73, 2 Sc 2.96
Sc (0.0000, 0.1117, 0.5367) x4  1 Co 2.50
Sc (0.0000, 0.2884, 0.8658) x4  3 Co 2.57-2.80
Sc (0.0000, 0.3310, 0.4012) x4  3 Co 2.76-2.97, 1 Cd 2.78, 3 Sc 3.01
Sc (0.0000, 0.5000, 0.7656) x2  1 Cd 2.76, 2 Sc 2.96
Cd (0.0000, 0.5000, 0.2001) x2  3 Sc 2.76-2.78
Co (0.0000, 0.1719, 0.1681) x4  4 Sc 2.50-2.76

Output
uncorrected energy	-135.57	eV for the cell shown
ΔH_f (0 K)	-2.00	eV/f.u.
theoretical density	4.33	Mg/m³